# 1
## NaGa2Ni2 (GGA-PBE)

Data for a relaxed structure of NaGa2Ni2.

Cell and atoms, written as POSCAR:
```
NaGa2Ni2
1.0
3.841 0.000 0.000
0.000 3.841 0.000
1.921 1.921 5.517
Ni Ga Na
2 2 1
direct
0.750 0.250 0.500 Ni
0.250 0.750 0.500 Ni
0.379 0.379 0.241 Ga
0.621 0.621 0.759 Ga
0.000 0.000 0.000 Na
```

Output
**ΔH_f (0 K)**: -0.161 eV per atom
**SG**: I4/mmm, No. 139

# 2
## NaGa3Ni (GGA-PBE)

Data for a relaxed structure of NaGa3Ni.

Cell and atoms, written as POSCAR:
```
NaGa3Ni
1.0
6.420 0.250 -0.093
3.429 5.437 -0.094
3.203 1.846 5.448
Na Ga Ni
2 6 2
direct
0.521 0.643 0.381 Na
0.579 0.709 0.856 Na
0.971 0.093 0.402 Ga
0.612 0.198 0.874 Ga
0.070 0.740 0.875 Ga
0.163 0.292 0.881 Ga
0.030 0.601 0.367 Ga
0.473 0.156 0.364 Ga
0.058 0.186 0.644 Ni
0.906 0.033 0.117 Ni
```

Output
**ΔH_f (0 K)**: -0.184 eV per atom
**SG**: P1, No. 1

# 3
## NaGaNi (GGA-PBE)

Data for a relaxed structure of NaGaNi.

Cell and atoms, written as POSCAR:
```
NaGaNi
1.0
3.967 0.000 0.000
0.000 3.967 0.000
0.000 0.000 7.137
Na Ga Ni
2 2 2
direct
0.000 0.500 0.846 Na
0.500 0.000 0.154 Na
0.000 0.500 0.311 Ga
0.500 0.000 0.689 Ga
0.000 0.000 0.500 Ni
0.500 0.500 0.500 Ni
```

Output
**ΔH_f (0 K)**: -0.136 eV per atom
**SG**: P4/nmm, No. 129

# 4
## NaGaNi (GGA-PBE)

Data for a relaxed structure of NaGaNi.

Cell and atoms, written as POSCAR:
```
NaGaNi
1.0
-2.747 3.528 2.764
-2.675 -2.817 0.937
1.425 -0.620 2.207
Na Ga Ni
1 1 1
direct
0.000 0.500 0.612 Na
0.500 0.000 0.617 Ga
0.500 0.500 0.117 Ni
```

Output
**ΔH_f (0 K)**: -0.139 eV per atom
**SG**: Pmm2, No. 25

# 5
## NaGa2Ni2 (GGA-PBE)

Data for a relaxed structure of NaGa2Ni2.

Cell and atoms, written as POSCAR:
```
NaGa2Ni2
1.0
-5.357 2.850 -4.192
-1.020 -6.580 -3.170
-1.785 -0.619 1.859
Ni Ga Na
4 4 2
direct
0.158 0.658 0.500 Ni
0.658 0.842 0.500 Ni
0.842 0.342 0.500 Ni
0.342 0.158 0.500 Ni
0.363 0.863 0.000 Ga
0.863 0.637 0.000 Ga
0.637 0.137 0.000 Ga
0.137 0.363 0.000 Ga
0.000 0.000 0.000 Na
0.500 0.500 0.000 Na
```

Output
**ΔH_f (0 K)**: -0.240 eV per atom
**SG**: P4/mbm, No. 127

# 6
## NaGa4Ni (GGA-PBE)

Data for a relaxed structure of NaGa4Ni.

Cell and atoms, written as POSCAR:
```
NaGa4Ni
1.0
3.875 0.000 0.000
0.000 6.855 0.000
0.000 0.000 7.832
Na Ga Ni
2 8 2
direct
0.000 0.604 0.750 Na
0.000 0.396 0.250 Na
0.000 0.000 0.500 Ga
0.000 0.000 0.000 Ga
0.500 0.937 0.750 Ga
0.500 0.063 0.250 Ga
0.500 0.687 0.066 Ga
0.500 0.313 0.934 Ga
0.500 0.687 0.434 Ga
0.500 0.313 0.566 Ga
0.000 0.186 0.750 Ni
0.000 0.814 0.250 Ni
```

Output
**ΔH_f (0 K)**: -0.218 eV per atom
**SG**: Pmma, No. 51

| no. | mass density (kg/m³) | calculated volume (Å³ per cell) | E_tot (eV for the cell shown) |
| --- | --- | --- | --- |
| 1 | 5708 | 81.4 | -19.74 |
| 2 | 5150 | 187.6 | -34.21 |
| 3 | 4476 | 112.3 | -21.07 |
| 4 | 4434 | 56.7 | -10.54 |
| 5 | 6446 | 144.2 | -40.27 |
| 6 | 5757 | 208.0 | -41.03 |